# 1
Below is Ba2CaIn after structural relaxation, with properties calculated at the PBE-GGA level.

Calculated values
- formation energy (meV per atom) = -246
- VASP energy (eV/atom) = -2.392
- volume (Å³/f.u.) = 181

Cell lengths 5.6471, 8.2868, 8.6516 Å; angles 116.74, 90.00, 90.00 degrees
With the nearest neighbours (Å) after each atom.
Atoms (fractional coordinates):
Ca  0.7500  0.9066  0.3132  3 In 3.28-3.43
Ca  0.2500  0.0934  0.6868  3 In 3.28-3.43
Ba  0.2500  0.7682  0.9274  3 In 3.54-3.87
Ba  0.7500  0.2318  0.0726  3 In 3.54-3.87
Ba  0.7500  0.4029  0.6331  3 In 3.57-3.75, 3 Ca 3.79-3.98
Ba  0.2500  0.5971  0.3669  3 In 3.57-3.75, 3 Ca 3.79-3.98
In  0.7500  0.8475  0.6636  3 Ca 3.28-3.43, 2 Ba 3.54-3.57
In  0.2500  0.1525  0.3364  3 Ca 3.28-3.43, 2 Ba 3.54-3.57

=====

# 2
Below is Ba2CaIn after structural relaxation, with properties calculated at the PBE-GGA level.

Calculated values
- formation energy (meV per atom) = -204
- VASP energy (eV/atom) = -2.350
- volume (Å³/f.u.) = 184

Cell lengths 4.2915, 4.2938, 9.9728 Å; angles 90.00, 90.00, 90.00 degrees
With the nearest neighbours (Å) after each atom.
Atoms (fractional coordinates):
Ba  0.0000  0.0000  0.5463  4 In 3.65, 1 Ba 4.06
Ba  0.0000  0.0000  0.9537  4 In 3.65, 1 Ba 4.06
Ca  0.5000  0.5000  0.2500  8 Ba 4.24, 4 Ca 4.29
In  0.5000  0.5000  0.7500  8 Ba 3.65

=====

# 3
Below is BaCaIn2 after structural relaxation, with properties calculated at the PBE-GGA level.

Calculated values
- formation energy (meV per atom) = -38
- VASP energy (eV/atom) = -2.388
- volume (Å³/f.u.) = 169

Cell lengths 5.5522, 5.5522, 11.6729 Å; angles 76.24, 76.24, 90.00 degrees
With the nearest neighbours (Å) after each atom.
Atoms (fractional coordinates):
In  0.4976  0.1250  0.2500  2 In 3.09, 2 Ca 3.15
In  0.8750  0.7476  0.7500  2 In 3.09, 2 Ca 3.15
In  0.2524  0.6250  0.2500  2 In 3.09, 2 Ca 3.15
In  0.3750  0.5024  0.7500  2 In 3.09, 2 Ca 3.15
Ca  0.2500  0.7500  0.5000  4 In 3.15
Ca  0.5000  0.5000  0.0000  4 In 3.15
Ba  0.7500  0.2500  0.5000  4 In 3.72, 4 Ca 3.93
Ba  0.0000  0.0000  0.0000  4 In 3.72, 4 Ca 3.93

=====

# 4
Below is BaCaIn2 after structural relaxation, with properties calculated at the PBE-GGA level.

Calculated values
- formation energy (meV per atom) = -398
- VASP energy (eV/atom) = -2.749
- volume (Å³/f.u.) = 142

Cell lengths 5.0533, 4.1555, 7.0717 Å; angles 72.87, 90.00, 90.00 degrees
With the nearest neighbours (Å) after each atom.
Atoms (fractional coordinates):
In  0.5000  0.0654  0.2434  2 In 3.12, 2 Ca 3.39
In  0.0000  0.2019  0.9716  2 In 3.12, 4 Ca 3.38
Ba  0.0000  0.4682  0.4383  7 In 3.53-3.78
Ca  0.5000  0.7645  0.8467  6 In 3.38-3.39

=====

# 5
Below is BaCaIn6 after structural relaxation, with properties calculated at the PBE-GGA level.

Calculated values
- formation energy (meV per atom) = -300
- VASP energy (eV/atom) = -2.844
- volume (Å³/f.u.) = 239

Cell lengths 5.0879, 6.4851, 7.2424 Å; angles 90.00, 90.00, 90.00 degrees
With the nearest neighbours (Å) after each atom.
Atoms (fractional coordinates):
Ba  0.0000  0.6360  0.0000  12 In 3.57-3.93
In  0.0000  0.7132  0.5000  6 In 3.15-3.33, 2 Ca 3.35
In  0.0000  0.1597  0.7265  6 In 3.20-3.33, 2 Ca 3.34
In  0.5000  0.2327  0.0000  6 In 3.16-3.26
In  0.5000  0.8603  0.7195  6 In 3.15-3.20, 1 Ca 3.51
In  0.5000  0.8603  0.2805  6 In 3.15-3.20, 1 Ca 3.51
In  0.0000  0.1597  0.2735  6 In 3.20-3.33, 2 Ca 3.34
Ca  0.5000  0.3780  0.5000  12 In 3.34-3.74

=====

# 6
Below is BaCa3In4 after structural relaxation, with properties calculated at the PBE-GGA level.

Calculated values
- formation energy (meV per atom) = -437
- VASP energy (eV/atom) = -2.797
- volume (Å³/f.u.) = 250

Cell lengths 5.5768, 8.0537, 11.1541 Å; angles 90.00, 90.00, 90.00 degrees
With the nearest neighbours (Å) after each atom.
Atoms (fractional coordinates):
In  0.5000  0.2253  0.5000  6 Ca 3.33-3.56, 2 Ba 3.56, 1 In 3.63
In  0.0001  0.7745  0.7500  6 Ca 3.33-3.56, 2 Ba 3.56, 1 In 3.63
In  0.5000  0.2253  0.0000  6 Ca 3.33-3.56, 2 Ba 3.56, 1 In 3.63
In  0.9999  0.2255  0.2500  6 Ca 3.33-3.56, 2 Ba 3.56, 1 In 3.63
In  0.0001  0.2255  0.7500  6 Ca 3.33-3.56, 2 Ba 3.56, 1 In 3.63
In  0.5000  0.7747  0.0000  6 Ca 3.33-3.56, 2 Ba 3.56, 1 In 3.63
In  0.5000  0.7747  0.5000  6 Ca 3.33-3.56, 2 Ba 3.56, 1 In 3.63
In  0.9999  0.7745  0.2500  6 Ca 3.33-3.56, 2 Ba 3.56, 1 In 3.63
Ca  0.0000  0.0000  0.5000  8 In 3.33
Ca  0.0000  0.0000  0.0000  8 In 3.33
Ca  0.5000  0.0000  0.2500  8 In 3.33
Ca  0.5000  0.0000  0.7500  8 In 3.33
Ca  0.5002  0.5000  0.7500  8 In 3.56, 4 Ba 3.94
Ca  0.4998  0.5000  0.2500  8 In 3.56, 4 Ba 3.94
Ba  0.0000  0.5000  0.0000  8 In 3.56, 4 Ca 3.94
Ba  0.0000  0.5000  0.5000  8 In 3.56, 4 Ca 3.94

=====

# 7
Below is BaCaIn2 after structural relaxation, with properties calculated at the PBE-GGA level.

Calculated values
- formation energy (meV per atom) = -368
- VASP energy (eV/atom) = -2.718
- volume (Å³/f.u.) = 137

Cell lengths 5.7465, 5.7464, 4.1592 Å; angles 90.00, 90.00, 90.11 degrees
With the nearest neighbours (Å) after each atom.
Atoms (fractional coordinates):
In  0.0000  0.0000  0.0000  4 Ca 3.55, 4 Ba 3.55
In  0.5000  0.5000  0.0000  4 Ba 3.55, 4 Ca 3.55
Ca  0.0000  0.5000  0.5000  8 In 3.55
Ba  0.5000  0.0000  0.5000  8 In 3.55

=====

# 8
Below is Ba4CaIn after structural relaxation, with properties calculated at the PBE-GGA level.

Calculated values
- formation energy (meV per atom) = 253
- VASP energy (eV/atom) = -1.819
- volume (Å³/f.u.) = 305

Cell lengths 7.5533, 7.5533, 7.5533 Å; angles 60.00, 60.00, 60.00 degrees
With the nearest neighbours (Å) after each atom.
Atoms (fractional coordinates):
Ca  0.7500  0.7500  0.7500  12 Ba 4.43, 4 In 4.63
Ba  0.3738  0.3738  0.3738  6 Ba 3.74-3.81
Ba  0.3738  0.3738  0.8785  6 Ba 3.74-3.81
Ba  0.8785  0.3738  0.3738  6 Ba 3.74-3.81
Ba  0.3738  0.8785  0.3738  6 Ba 3.74-3.81
In  0.0000  0.0000  0.0000  12 Ba 4.42, 4 Ca 4.63